The following is a DFT calculation (PBE) of a geometry-optimized Nd2TaCu structure.

POSCAR file:
```
Nd2TaCu
1.0
3.1923 0.0000 0.0000
1.5961 2.7646 0.0000
1.5961 0.9215 10.9759
Nd Cu Ta
2 1 1
Cartesian
1.5961 0.9215 7.9139
4.7884 2.7646 3.0619
3.1923 1.8431 5.4879
0.0000 0.0000 0.0000
```

## Properties
magnetization = 0.8 μB/f.u.
total energy = -22.66 eV per formula unit
calculated density = 9.1 Mg/m³
energy of formation from the pure elements = 0.706 eV per atom
volume = 24.22 A^3/atom

---

The following is a DFT calculation (PBE) of a geometry-optimized TbNdCu structure.

POSCAR file:
```
TbNdCu
1.0
-0.7978 3.5193 -0.5747
-2.6304 -2.5276 -0.2102
-1.3472 0.8259 6.9274
Nd Tb Cu
1 1 1
Cartesian
-0.0565 0.0346 0.2903
-2.8512 -0.0021 3.9446
-1.8678 1.7851 1.9075
```

## Properties
magnetization = 0.0 μB/f.u.
total energy = -13.35 eV per formula unit
calculated density = 7.4 Mg/m³
energy of formation from the pure elements = 0.049 eV per atom
volume = 27.39 A^3/atom

---

The following is a DFT calculation (PBE) of a geometry-optimized Tb2NdCu3 structure.

POSCAR file:
```
Tb2NdCu3
1.0
-1.5613 0.8899 -3.0120
2.2538 -2.0252 -1.7666
-6.6192 -8.2369 0.9977
Tb Cu Nd
2 3 1
Cartesian
-0.7342 -1.9121 -2.2265
-5.1926 -7.4601 -1.5545
-2.1231 -2.6420 0.3200
0.0000 0.0000 0.0000
-4.4961 -5.5949 0.6777
-2.9634 -4.6861 -1.8905
```

## Properties
magnetization = 0.0 μB/f.u.
total energy = -27.57 eV per formula unit
calculated density = 8.3 Mg/m³
energy of formation from the pure elements = -0.209 eV per atom
volume = 21.76 A^3/atom

---

The following is a DFT calculation (PBE) of a geometry-optimized Tb3NdCu2 structure.

POSCAR file:
```
Tb3NdCu2
1.0
3.5142 0.0000 0.0000
0.0000 3.5142 0.0000
0.0000 0.0000 12.2499
Tb Cu Nd
3 2 1
Cartesian
0.0000 0.0000 3.4208
0.0000 0.0000 8.8291
0.0000 0.0000 0.0000
1.7571 1.7571 1.7469
1.7571 1.7571 10.5030
1.7571 1.7571 6.1249
```

## Properties
magnetization = 0.0 μB/f.u.
total energy = -27.73 eV per formula unit
calculated density = 8.2 Mg/m³
energy of formation from the pure elements = -0.146 eV per atom
volume = 25.21 A^3/atom

---

The following is a DFT calculation (PBE) of a geometry-optimized TbNd2Cu3 structure.

POSCAR file:
```
TbNd2Cu3
1.0
2.5005 -7.5246 0.0000
2.5005 7.5246 0.0000
0.0000 0.0000 7.1886
Tb Nd Cu
2 4 6
Cartesian
2.5005 2.5206 0.0000
2.5005 -2.5206 0.0000
2.5005 -2.5003 3.5943
0.0000 0.0000 3.5943
0.0000 0.0000 0.0000
2.5005 2.5003 3.5943
2.5005 4.9608 5.4986
2.5005 0.0000 5.4538
2.5005 -4.9608 1.6900
2.5005 0.0000 1.7348
2.5005 4.9608 1.6900
2.5005 -4.9608 5.4986
```

## Properties
magnetization = 0.0 μB/f.u.
total energy = -27.48 eV per formula unit
calculated density = 7.8 Mg/m³
energy of formation from the pure elements = -0.172 eV per atom
volume = 22.54 A^3/atom

---

The following is a DFT calculation (PBE) of a geometry-optimized Tb4NdCu5 structure.

POSCAR file:
```
Tb4NdCu5
1.0
3.4874 0.0000 0.0000
0.0000 3.4874 0.0000
0.0000 0.0000 17.7039
Cu Nd Tb
5 1 4
Cartesian
1.7437 1.7437 1.9108
1.7437 1.7437 15.7931
1.7437 1.7437 8.8520
1.7437 1.7437 5.3380
1.7437 1.7437 12.3659
0.0000 0.0000 0.0000
0.0000 0.0000 7.0974
0.0000 0.0000 10.6065
0.0000 0.0000 3.5996
0.0000 0.0000 14.1043
```

## Properties
magnetization = 0.0 μB/f.u.
total energy = -45.99 eV per formula unit
calculated density = 8.5 Mg/m³
energy of formation from the pure elements = -0.222 eV per atom
volume = 21.53 A^3/atom

---

The following is a DFT calculation (PBE) of a geometry-optimized TbNd2Cu6 structure.

POSCAR file:
```
TbNd2Cu6
1.0
3.7049 0.0000 0.0000
0.0000 6.4031 -3.6969
0.0000 0.0000 7.3937
Tb Cu Nd
1 6 2
Cartesian
0.0000 0.0000 0.0000
1.8525 0.0000 4.9456
1.8525 4.2830 4.9209
1.8525 4.2830 2.4728
1.8525 0.0000 2.4481
1.8525 2.1201 -1.2240
1.8525 2.1201 1.2240
3.7049 4.2688 0.0000
0.0000 2.1344 3.6969
```

## Properties
magnetization = 0.0 μB/f.u.
total energy = -40.79 eV per formula unit
calculated density = 7.8 Mg/m³
energy of formation from the pure elements = -0.227 eV per atom
volume = 19.49 A^3/atom

---

The following is a DFT calculation (PBE) of a geometry-optimized Tb4NdCu structure.

POSCAR file:
```
Tb4NdCu
1.0
3.5563 0.0000 0.0000
0.0000 3.5563 0.0000
0.0000 0.0000 13.7499
Tb Cu Nd
4 1 1
Cartesian
0.0000 0.0000 5.1821
0.0000 0.0000 8.5678
1.7781 1.7781 11.1671
1.7781 1.7781 2.5828
1.7781 1.7781 6.8750
0.0000 0.0000 0.0000
```

## Properties
magnetization = 0.0 μB/f.u.
total energy = -27.68 eV per formula unit
calculated density = 8.1 Mg/m³
energy of formation from the pure elements = -0.049 eV per atom
volume = 28.98 A^3/atom

---

The following is a DFT calculation (PBE) of a geometry-optimized Tb3Nd2Cu2 structure.

POSCAR file:
```
Tb3Nd2Cu2
1.0
3.6795 0.0000 0.0000
-1.8398 6.3280 -0.5014
0.0000 -3.5408 8.4356
Tb Nd Cu
3 2 2
Cartesian
1.8398 0.0000 0.0000
1.8398 -0.1142 3.6322
0.0000 2.9014 4.3020
0.0000 -0.9079 6.6985
1.8398 3.6951 1.2357
1.8398 1.5237 6.1333
0.0000 1.2635 1.8010
```

## Properties
magnetization = 0.0 μB/f.u.
total energy = -32.35 eV per formula unit
calculated density = 7.8 Mg/m³
energy of formation from the pure elements = -0.105 eV per atom
volume = 27.13 A^3/atom

---

The following is a DFT calculation (PBE) of a geometry-optimized TbNdCu structure.

POSCAR file:
```
TbNdCu
1.0
-0.9413 -3.3934 -0.3011
6.4311 -1.9833 2.3382
-3.3051 2.2715 5.4470
Tb Cu Nd
2 2 2
Cartesian
4.8280 -2.1366 4.2297
-2.8153 -0.1041 5.1073
2.3053 -3.3501 5.0983
-1.2312 -2.2838 3.9382
1.6141 -1.1398 3.0032
0.3980 -1.1012 6.3339
```

## Properties
magnetization = 0.0 μB/f.u.
total energy = -13.80 eV per formula unit
calculated density = 7.7 Mg/m³
energy of formation from the pure elements = -0.101 eV per atom
volume = 26.31 A^3/atom

---

The following is a DFT calculation (PBE) of a geometry-optimized Tb3NdCu2 structure.

POSCAR file:
```
Tb3NdCu2
1.0
6.8929 0.0000 0.0000
0.0000 7.2180 0.0000
-3.4464 -3.6090 6.7760
Tb Cu Nd
6 4 2
Cartesian
3.4464 -1.8045 3.5690
0.0000 1.8045 3.2071
3.4464 1.8045 0.0000
3.4464 5.4135 0.0000
3.4464 1.8045 3.5690
0.0000 5.4135 3.2071
-1.4217 3.6090 4.8392
4.8681 0.0000 1.9369
2.0247 3.6090 1.9369
1.4217 0.0000 4.8392
0.0000 0.0000 0.0000
0.0000 3.6090 0.0000
```

## Properties
magnetization = 0.0 μB/f.u.
total energy = -26.62 eV per formula unit
calculated density = 7.4 Mg/m³
energy of formation from the pure elements = 0.038 eV per atom
volume = 28.09 A^3/atom

---

The following is a DFT calculation (PBE) of a geometry-optimized TbNd2Cu3 structure.

POSCAR file:
```
TbNd2Cu3
1.0
-1.6903 2.3187 -2.0785
-1.8486 -2.6503 -1.4533
-7.5931 1.1853 7.4972
Nd Cu Tb
2 3 1
Cartesian
-3.0613 0.0359 -0.4903
-8.0707 0.8178 4.4558
-4.9642 0.7749 4.9014
0.0000 0.0000 0.0000
-2.6289 0.4104 2.5957
-5.5660 0.4268 1.9827
```

## Properties
magnetization = 0.0 μB/f.u.
total energy = -27.51 eV per formula unit
calculated density = 7.9 Mg/m³
energy of formation from the pure elements = -0.176 eV per atom
volume = 22.46 A^3/atom

---

The following is a DFT calculation (PBE) of a geometry-optimized TbNd2Cu2 structure.

POSCAR file:
```
TbNd2Cu2
1.0
-3.7048 -2.8049 0.3995
-1.8733 -2.2162 -5.7069
3.6146 -8.5708 0.5684
Cu Tb Nd
4 2 4
Cartesian
0.4935 -4.7494 -1.5443
-2.4570 -8.8426 -3.1946
-0.5741 -10.8923 -0.1251
-1.3895 -2.6996 -4.6139
-0.1870 -8.2275 -5.0498
-1.7765 -5.3644 0.3109
-0.5939 -11.3284 -3.3700
0.0673 -8.0716 -1.5973
-2.0309 -5.5203 -3.1416
-1.3696 -2.2636 -1.3690
```

## Properties
magnetization = 0.0 μB/f.u.
total energy = -22.87 eV per formula unit
calculated density = 7.6 Mg/m³
energy of formation from the pure elements = -0.102 eV per atom
volume = 25.04 A^3/atom

---

The following is a DFT calculation (PBE) of a geometry-optimized Tb3NdCu structure.

POSCAR file:
```
Tb3NdCu
1.0
5.4149 0.0000 0.0000
0.0000 5.4149 0.0000
0.0000 0.0000 5.4149
Tb Cu Nd
3 1 1
Cartesian
0.0000 2.7075 0.0000
2.7075 0.0000 0.0000
0.0000 0.0000 2.7075
0.0000 0.0000 0.0000
2.7075 2.7075 2.7075
```

## Properties
magnetization = 0.0 μB/f.u.
total energy = -22.31 eV per formula unit
calculated density = 7.2 Mg/m³
energy of formation from the pure elements = 0.088 eV per atom
volume = 31.75 A^3/atom

---

The following is a DFT calculation (PBE) of a geometry-optimized Tb2NdCu structure.

POSCAR file:
```
Tb2NdCu
1.0
-1.8056 -4.0023 -4.8313
5.6234 1.7602 -3.5599
5.0463 -7.4516 4.2870
Nd Tb Cu
4 8 4
Cartesian
2.9873 -3.5131 -3.8280
5.8767 -6.1806 -0.2761
-0.2314 -5.2955 -3.1373
9.0955 -4.3982 -0.9669
3.8204 0.0621 -3.0437
5.0437 -9.7558 -1.0604
5.7577 -2.7987 -1.3979
8.1178 -8.2941 -2.1384
2.6836 -4.2604 -0.3200
3.1064 -6.8950 -2.7063
6.1804 -5.4333 -3.7842
0.7463 -1.3996 -1.9658
3.3452 -7.6948 0.0719
3.3474 -1.4600 -0.6831
5.5167 -8.2337 -3.4210
5.5189 -1.9989 -4.1760
```

## Properties
magnetization = 0.0 μB/f.u.
total energy = -18.46 eV per formula unit
calculated density = 7.8 Mg/m³
energy of formation from the pure elements = -0.084 eV per atom
volume = 28.00 A^3/atom

---

The following is a DFT calculation (PBE) of a geometry-optimized Tb2NdCu2 structure.

POSCAR file:
```
Tb2NdCu2
1.0
3.5277 0.0000 -0.4723
0.0000 5.1625 0.0000
-0.0217 0.0000 13.2318
Cu Tb Nd
4 4 2
Cartesian
1.2531 1.2906 9.3390
1.5965 3.8719 11.8795
1.9096 1.2906 0.8801
2.2529 3.8719 3.4206
3.3426 1.2906 11.5447
0.8037 3.8719 5.9887
0.1634 3.8719 1.2149
2.7023 1.2906 6.7709
0.4895 1.2906 3.6713
3.0166 3.8719 9.0882
```

## Properties
magnetization = 0.0 μB/f.u.
total energy = -22.87 eV per formula unit
calculated density = 8.1 Mg/m³
energy of formation from the pure elements = -0.130 eV per atom
volume = 24.09 A^3/atom

---

The following is a DFT calculation (PBE) of a geometry-optimized TbNdCu3 structure.

POSCAR file:
```
TbNdCu3
1.0
-3.5735 -0.4580 -1.0396
-1.1109 -0.6778 4.1172
-0.2650 12.7970 2.0352
Cu Nd Tb
6 2 2
Cartesian
-2.7738 3.9464 1.0334
-3.1104 2.2672 2.9304
-2.2328 11.8063 2.4733
-1.8390 9.3939 2.1824
-2.7166 -0.1452 2.6395
-2.1756 7.7147 4.0794
-0.5721 1.6339 1.2467
-4.3772 10.0273 3.8661
-1.6713 4.6259 3.7070
-3.2780 7.0353 1.4059
```

## Properties
magnetization = 0.0 μB/f.u.
total energy = -22.79 eV per formula unit
calculated density = 7.9 Mg/m³
energy of formation from the pure elements = -0.221 eV per atom
volume = 20.76 A^3/atom

---

The following is a DFT calculation (PBE) of a geometry-optimized TbNdCu structure.

POSCAR file:
```
TbNdCu
1.0
-2.7335 -1.0550 -3.9652
2.1843 -0.9836 -4.3092
-0.0595 -4.5883 -1.8033
Tb Nd Cu
1 1 1
Cartesian
0.0000 0.0000 0.0000
-0.3044 -3.3134 -5.0389
-0.1522 -1.6567 -2.5195
```

## Properties
magnetization = 0.0 μB/f.u.
total energy = -13.20 eV per formula unit
calculated density = 7.2 Mg/m³
energy of formation from the pure elements = 0.099 eV per atom
volume = 28.25 A^3/atom

---

The following is a DFT calculation (PBE) of a geometry-optimized Tb2NdCu structure.

POSCAR file:
```
Tb2NdCu
1.0
-2.8855 -0.3489 2.1779
0.0988 -2.3276 2.7863
2.6632 6.3455 7.5734
Cu Tb Nd
1 2 1
Cartesian
0.0000 0.0000 0.0000
-0.2108 0.5548 2.8380
0.0873 3.1142 9.6997
-0.0617 1.8345 6.2689
```

## Properties
magnetization = 0.0 μB/f.u.
total energy = -17.99 eV per formula unit
calculated density = 7.6 Mg/m³
energy of formation from the pure elements = 0.033 eV per atom
volume = 28.61 A^3/atom

---

The following is a DFT calculation (PBE) of a geometry-optimized Tb2NdCu structure.

POSCAR file:
```
Tb2NdCu
1.0
-2.2673 -2.4195 -1.2536
2.0370 -2.5880 1.3109
-4.4516 0.2905 7.4906
Tb Cu Nd
2 1 1
Cartesian
-3.5941 0.2346 6.0477
-0.8575 0.0560 1.4429
-0.1151 -2.5038 0.0287
-2.3409 -2.3585 3.7740
```

## Properties
magnetization = 0.0 μB/f.u.
total energy = -18.51 eV per formula unit
calculated density = 8.0 Mg/m³
energy of formation from the pure elements = -0.097 eV per atom
volume = 27.39 A^3/atom